Li2MnFeB2O6 after structural relaxation. Source: Alexandria, functional PBE with a Hubbard U.

a = 5.2564 Å, b = 8.1906 Å, c = 5.9825 Å
α = 77.37°, β = 89.20°, γ = 90.36°
Atoms (fractional coordinates):
Li (0.6524, 0.2786, 0.0469)
Li (0.3477, 0.7214, 0.9532)
Li (0.8427, 0.2250, 0.4579)
Li (0.1573, 0.7749, 0.5421)
Mn (0.3250, 0.0815, 0.6820)
Mn (0.6750, 0.9185, 0.3180)
Fe (0.1651, 0.4225, 0.8174)
Fe (0.8349, 0.5775, 0.1826)
B (0.1724, 0.0969, 0.1677)
B (0.8276, 0.9031, 0.8323)
B (0.3249, 0.4105, 0.3330)
B (0.6751, 0.5895, 0.6671)
O (0.9136, 0.1231, 0.1787)
O (0.0864, 0.8769, 0.8213)
O (0.6810, 0.8095, 0.0141)
O (0.3190, 0.1905, 0.9859)
O (0.2058, 0.5261, 0.1607)
O (0.7942, 0.4739, 0.8393)
O (0.5837, 0.3852, 0.3203)
O (0.4163, 0.6148, 0.6797)
O (0.1778, 0.3155, 0.5122)
O (0.8222, 0.6845, 0.4878)
O (0.7084, 0.0181, 0.6595)
O (0.2916, 0.9819, 0.3405)

Total magnetic moment: 17.874 μB/cell
N(E_F): 0.000 states/eV per atom
Energy above the lowest structure with this stoichiometry: 0.3 kJ/mol of atoms